No. 1
Here is a relaxed CaAc4Hg5 crystal from Alexandria via LeMat-Bulk. Energies are from PBE-GGA.

Cell: 3.992 3.992 20.100 Å, 90.00 90.00 90.00°
Space group P4/mmm (No. 123)
Unique sites:
Ca (0.000, 0.000, 0.000) (multiplicity 1)
Ac (0.000, 0.000, 0.193) (multiplicity 2)
Ac (0.000, 0.000, 0.397) (multiplicity 2)
Hg (0.500, 0.500, 0.091) (multiplicity 2)
Hg (0.500, 0.500, 0.296) (multiplicity 2)
Hg (0.500, 0.500, 0.500) (multiplicity 1)

## Properties
ΔE_f	-0.49	eV per atom
E_tot	-24.85	eV/f.u.

---

No. 2
Here is a relaxed Ca2Ac3Hg3 crystal from Alexandria via LeMat-Bulk. Energies are from PBE-GGA.

Cell: 4.002 5.808 23.900 Å, 90.00 90.00 90.00°
Space group Immm (No. 71)
Unique sites:
Ca (0.000, 0.000, 0.227) (multiplicity 4)
Ac (0.000, 0.000, 0.000) (multiplicity 2)
Ac (0.000, 0.500, 0.118) (multiplicity 4)
Hg (0.000, 0.000, 0.500) (multiplicity 2)
Hg (0.000, 0.500, 0.378) (multiplicity 4)

## Properties
ΔE_f	-0.35	eV per atom
E_tot	-20.00	eV/f.u.

---

No. 3
Here is a relaxed Ca2AcHg crystal from Alexandria via LeMat-Bulk. Energies are from PBE-GGA.

Cell: 5.204 9.442 6.459 Å, 90.00 113.65 90.00°
Space group P2_1/m (No. 11)
Unique sites:
Ca (0.151, 0.056, 0.303) (multiplicity 4)
Ac (0.450, 0.250, 0.899) (multiplicity 2)
Hg (0.265, 0.750, 0.529) (multiplicity 2)

## Properties
energy above the most stable polymorph in this dataset	17	meV per atom
ΔE_f	-0.24	eV per atom
E_tot	-9.36	eV/f.u.

---

No. 4
Here is a relaxed CaAcHg4 crystal from Alexandria via LeMat-Bulk. Energies are from PBE-GGA.

Cell: 5.107 7.629 8.697 Å, 90.00 90.00 90.00°
Space group Imm2 (No. 44)
Unique sites:
Ca (0.000, 0.000, 0.000) (multiplicity 2)
Ac (0.000, 0.500, 0.003) (multiplicity 2)
Hg (0.000, 0.245, 0.334) (multiplicity 4)
Hg (0.000, 0.248, 0.668) (multiplicity 4)

## Properties
energy above the most stable polymorph in this dataset	0	meV per atom
ΔE_f	-0.46	eV per atom
E_tot	-10.06	eV/f.u.

---

No. 5
Here is a relaxed Ca3AcHg3 crystal from Alexandria via LeMat-Bulk. Energies are from PBE-GGA.

Cell: 8.268 8.268 8.268 Å, 90.00 90.00 90.00°
Space group Pm-3n (No. 223)
Unique sites:
Ca (0.000, 0.250, 0.500) (multiplicity 6)
Ac (0.000, 0.000, 0.000) (multiplicity 2)
Hg (0.000, 0.500, 0.250) (multiplicity 6)

## Properties
ΔE_f	0.02	eV per atom
E_tot	-10.86	eV/f.u.

---

No. 6
Here is a relaxed CaAcHg2 crystal from Alexandria via LeMat-Bulk. Energies are from PBE-GGA.

Cell: 5.592 5.592 3.921 Å, 90.00 90.00 90.00°
Space group P4/mmm (No. 123)
Unique sites:
Ca (0.000, 0.000, 0.000) (multiplicity 1)
Ac (0.500, 0.500, 0.000) (multiplicity 1)
Hg (0.000, 0.500, 0.500) (multiplicity 2)

## Properties
energy above the most stable polymorph in this dataset	19	meV per atom
ΔE_f	-0.53	eV per atom
E_tot	-8.82	eV/f.u.